This record from the Alexandria database describes a relaxed structure of Li2PaTeO7. The functional is PBE.

a = 3.8997 Å, b = 3.8997 Å, c = 8.4828 Å
α = 103.29°, β = 103.29°, γ = 90.00°
Closest atoms and distances in Å follow each position.
Fractional coordinates of all 11 atoms:
Li (0.8823, 0.8823, 0.7647)  6 O 1.89-2.10
Li (0.1177, 0.1177, 0.2353)  6 O 1.89-2.10
Pa (0.5000, 0.5000, 0.0000)  4 O 2.24
Te (0.2500, 0.7500, 0.5000)  6 O 1.94-1.96
O (0.1293, 0.6293, 0.2585)  1 Te 1.94, 2 Li 1.96
O (0.0000, 0.0000, 0.0000)  2 Li 1.89
O (0.3707, 0.8707, 0.7415)  1 Te 1.94, 2 Li 1.96
O (0.7598, 0.7598, 0.5196)  2 Te 1.96, 1 Li 1.97
O (0.5684, 0.0684, 0.1368)  2 Li 2.10, 2 O 2.24, 2 Pa 2.24
O (0.2402, 0.2402, 0.4804)  2 Te 1.96, 1 Li 1.97
O (0.9316, 0.4316, 0.8632)  2 Li 2.10, 2 Pa 2.24, 2 O 2.24

Output
final energy	-6.373	eV/atom
magnetization	0.093	μB/atom
space-group type	I-4m2, No. 119
formation energy (no corrections)	-166.1	kJ/mol of atoms

---

This record from the Alexandria database describes a relaxed structure of LaInSb2. The functional is PBE.

a = 3.6611 Å, b = 3.6611 Å, c = 9.1141 Å
α = 90.00°, β = 90.00°, γ = 90.00°
Closest atoms and distances in Å follow each position.
Fractional coordinates of all 4 atoms:
In (0.0000, 0.0000, 0.4827)  4 Sb 3.09
La (0.5000, 0.5000, 0.7427)  4 Sb 3.36, 4 In 3.51, 4 La 3.66
Sb (0.0000, 0.0000, 0.9772)  4 La 3.36, 4 Sb 3.66
Sb (0.5000, 0.5000, 0.2973)  4 In 3.09

Output
final energy	-4.194	eV/atom
magnetization	0.000	μB/atom
space-group type	P4mm, No. 99
formation energy (no corrections)	-20.9	kJ/mol of atoms

---

This record from the Alexandria database describes a relaxed structure of CoBr2Cl. The functional is PBE.

a = 3.5225 Å, b = 6.9717 Å, c = 6.9723 Å
α = 39.55°, β = 90.00°, γ = 90.00°
Closest atoms and distances in Å follow each position.
Fractional coordinates of all 4 atoms:
Co (0.5000, 0.7500, 0.7500)  2 Cl 2.36, 4 Br 2.40
Br (0.0000, 0.8742, 0.8742)  2 Co 2.40
Br (0.0000, 0.6258, 0.6258)  2 Co 2.40
Cl (0.5000, 0.2500, 0.2500)  2 Co 2.36

Output
final energy	-3.329	eV/atom
magnetization	0.233	μB/atom
space-group type	Cmmm, No. 65
relative energy among the computed polymorphs	72.4	meV per atom
formation energy (no corrections)	-24.5	kJ/mol of atoms